# 1
Compound: ReTe2Mo
Source: the Alexandria database
Functional: PBE
Structure: optimized geometry

Unit cell a=4.294 b=4.294 c=8.338 alpha=90.00 beta=90.00 gamma=90.00
Space group I-4m2 (No. 119)
Symmetry-distinct sites (fractional):
Re (0.000, 0.000, 0.000) x2
Te (0.000, 0.000, 0.500) x2
Te (0.000, 0.500, 0.750) x2
Mo (0.000, 0.500, 0.250) x2

Computed properties:
* energy above the lowest structure with this stoichiometry: 0.730 eV per atom
* uncorrected energy: -6.456 eV per atom
* raw formation energy: 935 meV per atom
* calculated density: 11.61 g/cm3

***

# 2
Compound: Tb2SmY12
Source: the Alexandria database
Functional: PBE
Structure: optimized geometry

Unit cell a=7.088 b=11.363 c=24.774 alpha=90.00 beta=90.00 gamma=90.00
Space group Cmme (No. 67)
Symmetry-distinct sites (fractional):
Tb (0.000, 0.250, 0.230) x4
Tb (0.000, 0.250, 0.766) x4
Sm (0.000, 0.250, 0.500) x4
Y (0.000, 0.001, 0.578) x8
Y (0.000, 0.014, 0.061) x8
Y (0.239, 0.250, 0.914) x8
Y (0.250, 0.000, 0.173) x8
Y (0.250, 0.000, 0.300) x8
Y (0.250, 0.250, 0.371) x8

Computed properties:
* uncorrected energy: -5.929 eV per atom
* formation energy from the elements: 174 meV/atom
* calculated density: 5.11 g/cm3

***

# 3
Compound: DyYMnHg
Source: the Alexandria database
Functional: PBE
Structure: optimized geometry

Unit cell a=7.289 b=7.289 c=7.289 alpha=90.00 beta=90.00 gamma=90.00
Space group F-43m (No. 216)
Symmetry-distinct sites (fractional):
Dy (0.000, 0.000, 0.000) x4
Y (0.000, 0.000, 0.500) x4
Mn (0.250, 0.250, 0.250) x4
Hg (0.250, 0.250, 0.750) x4

Computed properties:
* uncorrected energy: -5.221 eV per atom
* formation energy from the elements: -87 meV/atom
* calculated density: 8.69 g/cm3

***

# 4
Compound: Sc2Zn5Pd
Source: the Alexandria database
Functional: PBE
Structure: optimized geometry

Unit cell a=3.420 b=17.523 c=9.175 alpha=90.00 beta=90.00 gamma=90.00
Space group Cmcm (No. 63)
Symmetry-distinct sites (fractional):
Sc (0.000, 0.000, 0.000) x4
Sc (0.000, 0.169, 0.250) x4
Zn (0.000, 0.218, 0.606) x8
Zn (0.000, 0.368, 0.518) x8
Zn (0.000, 0.395, 0.250) x4
Pd (0.000, 0.458, 0.750) x4

Computed properties:
* uncorrected energy: -3.402 eV per atom
* formation energy from the elements: -374 meV/atom
* calculated density: 6.32 g/cm3

***

# 5
Compound: LiNpTcRh
Source: the Alexandria database
Functional: PBE
Structure: optimized geometry

Unit cell a=6.340 b=6.340 c=6.340 alpha=90.00 beta=90.00 gamma=90.00
Space group F-43m (No. 216)
Symmetry-distinct sites (fractional):
Li (0.000, 0.000, 0.000) x4
Np (0.000, 0.000, 0.500) x4
Tc (0.250, 0.250, 0.250) x4
Rh (0.250, 0.250, 0.750) x4

Computed properties:
* uncorrected energy: -8.203 eV per atom
* formation energy from the elements: -60 meV/atom
* calculated density: 11.60 g/cm3

***

# 6
Compound: Cs3Br3F
Source: the Alexandria database
Functional: PBE
Structure: optimized geometry

Unit cell a=9.960 b=14.730 c=8.564 alpha=90.00 beta=104.15 gamma=90.00
Space group C2/m (No. 12)
Symmetry-distinct sites (fractional):
Cs (0.139, 0.000, 0.314) x4
Cs (0.241, 0.174, 0.751) x8
Br (0.000, 0.175, 0.000) x4
Br (0.000, 0.351, 0.500) x4
Br (0.017, 0.500, 0.866) x4
F (0.140, 0.000, 0.650) x4

Computed properties:
* uncorrected energy: -3.076 eV per atom
* raw formation energy: -1726 meV per atom
* calculated density: 3.58 g/cm3

***

# 7
Compound: Ga3NiCl
Source: the Alexandria database
Functional: PBE
Structure: optimized geometry

Unit cell a=5.162 b=5.162 c=5.162 alpha=90.00 beta=90.00 gamma=90.00
Space group Pm-3m (No. 221)
Symmetry-distinct sites (fractional):
Ga (0.000, 0.000, 0.500) x3
Ni (0.500, 0.500, 0.500) x1
Cl (0.000, 0.000, 0.000) x1

Computed properties:
* energy above the lowest structure with this stoichiometry: 1.184 eV per atom
* uncorrected energy: -2.575 eV per atom
* raw formation energy: 767 meV per atom
* calculated density: 3.66 g/cm3

***

# 8
Compound: Rb2SrCu2F7
Source: the Alexandria database
Functional: PBE
Structure: optimized geometry

Unit cell a=4.189 b=4.189 c=21.811 alpha=90.00 beta=90.00 gamma=90.00
Space group I4/mmm (No. 139)
Symmetry-distinct sites (fractional):
Rb (0.000, 0.000, 0.182) x4
Sr (0.000, 0.000, 0.000) x2
Cu (0.000, 0.000, 0.405) x4
F (0.000, 0.000, 0.311) x4
F (0.000, 0.000, 0.500) x2
F (0.000, 0.500, 0.080) x8

Computed properties:
* uncorrected energy: -4.520 eV per atom
* raw formation energy: -2444 meV per atom
* calculated density: 4.50 g/cm3

***

Look up the uncorrected energy of the fifth one. -8.203 eV per atom

***

Which formula does entry 8 have? Rb2SrCu2F7